A relaxed structure of LiWBr2, computed with PBE.

a b c (Å): 6.8920 5.7240 3.4915
angles (deg): 66.95 98.26 130.23
Closest atoms and distances in Å follow each position.
Fractional coordinates of all 4 atoms:
Li1 0.0000 0.5000 0.5000  4 Br 2.71
W1 0.5000 0.5000 0.0000  4 Br 2.71
Br1 0.5000 0.0000 0.5000  2 W 2.71, 2 Li 2.71
Br2 0.0000 0.0000 0.0000  2 Li 2.71, 2 W 2.71

Properties
Its calculated total energy is -4.1078 eV per atom. The calculation puts the energy above the most stable polymorph in this dataset at 405.6 meV/atom. For the total moment, the calculation gives 3.5 Bohr magnetons per cell. The energy relative to the elements, uncorrected comes out at 0.445 eV per atom. The value obtained for the density of states at the Fermi level is 2.2 states/eV/f.u. Its space group is C2/m (12).


A relaxed structure of Li2WBr, computed with PBE.

a b c (Å): 4.7061 2.8727 5.2311
angles (deg): 89.80 90.00 90.00
Closest atoms and distances in Å follow each position.
Fractional coordinates of all 4 atoms:
Li1 0.0000 0.1230 0.0117  4 Li 2.75-2.87, 4 W 2.94-3.02
Li2 0.5000 0.1283 0.2830  2 Br 2.61-2.62, 4 Li 2.75-2.87
Br1 0.5000 0.6237 0.7009  2 W 2.57, 2 Li 2.61-2.62, 2 Br 2.87
W1 0.0000 0.6250 0.5043  2 Br 2.57, 2 W 2.87

Properties
Its calculated total energy is -4.1551 eV per atom. The calculation puts the energy above the most stable polymorph in this dataset at 321.5 meV/atom. For the total moment, the calculation gives 0.0 Bohr magnetons per cell. The energy relative to the elements, uncorrected comes out at 0.458 eV per atom. The value obtained for the density of states at the Fermi level is 2.5 states/eV/f.u. Its space group is Pm (6).


A relaxed structure of LiW2Br, computed with PBE.

a b c (Å): 4.5181 4.5181 4.5181
angles (deg): 60.00 60.00 60.00
Closest atoms and distances in Å follow each position.
Fractional coordinates of all 4 atoms:
Br1 0.5000 0.5000 0.5000  4 W 2.77, 4 Li 2.77
W1 0.0000 0.0000 0.0000  4 W 2.77, 4 Li 2.77
Li1 0.2500 0.2500 0.2500  4 W 2.77, 4 Br 2.77
W2 0.7500 0.7500 0.7500  4 W 2.77, 4 Br 2.77

Properties
Its calculated total energy is -6.4403 eV per atom. The calculation puts the energy above the most stable polymorph in this dataset at 708.5 meV/atom. For the total moment, the calculation gives 0.0 Bohr magnetons per cell. The energy relative to the elements, uncorrected comes out at 0.933 eV per atom. The value obtained for the density of states at the Fermi level is 1.5 states/eV/f.u. Its space group is F-43m (216).